Record 1
SrTe2HRh: relaxed, PBE-GGA.

abc: 5.5430 5.5430 3.6393
angles: 90.00 90.00 90.00
Last column: nearest neighbours and their distance in Å.
Fractional coordinates of all 5 atoms:
Te 0.5000 0.0000 0.0000  2 Rh 2.77
Rh 0.0000 0.0000 0.0000  2 H 1.82
H 0.0000 0.0000 0.5000  2 Rh 1.82
Te 0.0000 0.5000 0.0000  2 Rh 2.77
Sr 0.5000 0.5000 0.5000  8 Te 3.32, 2 Sr 3.64

Summary:
Its total magnetization is 0.0 μB per cell. The energy is -21.39 eV per cell. Its space group is P4/mmm (123).

Record 2
Sr2TlHRh: relaxed, PBE-GGA.

abc: 5.5722 5.5722 3.7185
angles: 90.00 90.00 90.00
Last column: nearest neighbours and their distance in Å.
Fractional coordinates of all 5 atoms:
Sr 0.5000 0.0000 0.0000  2 H 2.79
H 0.0000 0.0000 0.0000  2 Rh 1.86
Tl 0.5000 0.5000 0.5000  8 Sr 3.35, 2 Tl 3.72
Sr 0.0000 0.5000 0.0000  2 H 2.79
Rh 0.0000 0.0000 0.5000  2 H 1.86

Summary:
Its total magnetization is 0.0 μB per cell. The energy is -18.05 eV per cell. Its space group is P4/mmm (123).

Record 3
SrTlH2Rh: relaxed, PBE-GGA.

abc: 4.1723 5.3938 4.1723
angles: 90.00 90.00 90.00
Last column: nearest neighbours and their distance in Å.
Fractional coordinates of all 5 atoms:
H 0.0000 0.0000 0.5000  2 Tl 2.09
H 0.5000 0.0000 0.0000  2 Tl 2.09
Sr 0.5000 0.5000 0.5000  4 Rh 2.95
Rh 0.0000 0.5000 0.0000  2 Tl 2.70, 4 Sr 2.95
Tl 0.0000 0.0000 0.0000  4 H 2.09

Summary:
Its total magnetization is 0.0 μB per cell. The energy is -16.58 eV per cell. Its space group is P4/mmm (123).